# 1
First-principles (PBE) data for crystalline SiWCl at its relaxed geometry, as listed in Alexandria via LeMat-Bulk.

```
SiWCl
1.0
0.000 3.057 3.057
3.057 0.000 3.057
3.057 3.057 0.000
Si W Cl
1 1 1
direct
0.000 0.000 0.000
0.750 0.750 0.750
0.500 0.500 0.500
```

Values from the calculation:
Energy relative to the lowest polymorph listed for this composition in meV per atom: 650
Total magnetization in Bohr magnetons per cell: 1.52
Formation energy without anion corrections in eV per atom: 0.920
Energy in eV per atom: -5.821

***

# 2
First-principles (PBE) data for crystalline Ta3As2 at its relaxed geometry, as listed in Alexandria via LeMat-Bulk.

```
Ta3As2
1.0
1.682 0.971 9.316
-1.682 0.971 9.316
0.000 -1.942 9.316
Ta As
3 2
direct
0.000 0.000 0.000
0.202 0.202 0.202
0.798 0.798 0.798
0.398 0.398 0.398
0.602 0.602 0.602
```

Values from the calculation:
Energy relative to the lowest polymorph listed for this composition in meV per atom: 60
Total magnetization in Bohr magnetons per cell: 0.00
Energy in eV per atom: -9.010

***

# 3
First-principles (PBE) data for crystalline Ac2TmTcO6 at its relaxed geometry, as listed in Alexandria via LeMat-Bulk.

```
Ac2TmTcO6
1.0
5.749 0.000 0.000
0.000 8.377 0.000
0.000 0.000 6.126
Ac Tm Tc O
4 2 2 12
direct
0.250 0.022 0.217
0.250 0.478 0.217
0.750 0.522 0.783
0.750 0.978 0.783
0.250 0.250 0.727
0.750 0.750 0.273
0.250 0.750 0.766
0.750 0.250 0.234
0.000 0.250 0.995
0.000 0.750 0.005
0.004 0.250 0.465
0.250 0.505 0.787
0.250 0.995 0.787
0.496 0.250 0.465
0.500 0.250 0.995
0.500 0.750 0.005
0.504 0.750 0.535
0.750 0.005 0.213
0.750 0.495 0.213
0.996 0.750 0.535
```

Values from the calculation:
Total magnetization in Bohr magnetons per cell: 4.00
Formation energy without anion corrections in eV per atom: -2.743
Energy in eV per atom: -8.024

***

# 4
First-principles (PBE) data for crystalline Rb2NpBr2O2 at its relaxed geometry, as listed in Alexandria via LeMat-Bulk.

```
Rb2NpBr2O2
1.0
-2.236 2.236 9.074
2.236 -2.236 9.074
2.236 2.236 -9.074
Rb Np Br O
2 1 2 2
direct
0.124 0.124 0.000
0.876 0.876 0.000
0.500 0.500 0.000
0.334 0.334 0.000
0.666 0.666 0.000
0.000 0.500 0.500
0.500 0.000 0.500
```

Values from the calculation:
Total magnetization in Bohr magnetons per cell: 3.00
Formation energy without anion corrections in eV per atom: -2.065
Energy in eV per atom: -6.085

***

# 5
First-principles (PBE) data for crystalline KSi5BO13 at its relaxed geometry, as listed in Alexandria via LeMat-Bulk.

```
KSi5BO13
1.0
13.557 0.000 0.000
0.000 4.812 0.000
0.000 0.000 8.713
K Si B O
2 10 2 26
direct
0.000 0.060 0.000
0.500 0.940 0.500
0.000 0.070 0.556
0.199 0.637 0.819
0.205 0.865 0.474
0.295 0.135 0.974
0.301 0.363 0.319
0.500 0.930 0.056
0.699 0.363 0.319
0.705 0.135 0.974
0.795 0.865 0.474
0.801 0.637 0.819
0.000 0.570 0.740
0.500 0.430 0.240
0.000 0.396 0.603
0.000 0.559 0.114
0.000 0.870 0.706
0.088 0.508 0.838
0.097 0.000 0.448
0.211 0.896 0.941
0.221 0.607 0.355
0.223 0.754 0.648
0.277 0.246 0.148
0.279 0.393 0.855
0.289 0.104 0.441
0.403 0.000 0.948
0.412 0.492 0.338
0.500 0.130 0.206
0.500 0.441 0.614
0.500 0.604 0.103
0.588 0.492 0.338
0.597 0.000 0.948
0.711 0.104 0.441
0.721 0.393 0.855
0.723 0.246 0.148
0.777 0.754 0.648
0.779 0.607 0.355
0.789 0.896 0.941
0.903 0.000 0.448
0.912 0.508 0.838
```

Values from the calculation:
Total magnetization in Bohr magnetons per cell: 4.14
Formation energy without anion corrections in eV per atom: -2.428
Energy in eV per atom: -7.396

***

# 6
First-principles (PBE) data for crystalline Sc3Ga3Os at its relaxed geometry, as listed in Alexandria via LeMat-Bulk.

```
Sc3Ga3Os
1.0
5.285 -1.711 0.000
5.285 1.711 0.000
-4.104 0.000 14.479
Sc Ga Os
6 6 2
direct
0.009 0.009 0.374
0.125 0.125 0.926
0.237 0.237 0.232
0.763 0.763 0.768
0.875 0.875 0.074
0.991 0.991 0.626
0.359 0.359 0.476
0.395 0.395 0.928
0.490 0.490 0.780
0.510 0.510 0.220
0.605 0.605 0.072
0.641 0.641 0.524
0.282 0.282 0.634
0.718 0.718 0.366
```

Values from the calculation:
Total magnetization in Bohr magnetons per cell: 0.00
Energy in eV per atom: -6.137

***

# 7
First-principles (PBE) data for crystalline Pm4YSi2 at its relaxed geometry, as listed in Alexandria via LeMat-Bulk.

```
Pm4YSi2
1.0
9.873 0.000 0.000
0.000 9.873 0.000
0.000 0.000 4.005
Pm Y Si
8 2 4
direct
0.108 0.330 0.000
0.170 0.608 0.500
0.330 0.108 0.000
0.392 0.830 0.500
0.608 0.170 0.500
0.670 0.892 0.000
0.830 0.392 0.500
0.892 0.670 0.000
0.000 0.000 0.500
0.500 0.500 0.000
0.158 0.842 0.000
0.342 0.342 0.500
0.658 0.658 0.500
0.842 0.158 0.000
```

Values from the calculation:
Total magnetization in Bohr magnetons per cell: 0.00
Formation energy without anion corrections in eV per atom: -0.371
Energy in eV per atom: -5.559

***

# 8
First-principles (PBE) data for crystalline Rb2TaI7 at its relaxed geometry, as listed in Alexandria via LeMat-Bulk.

```
Rb2TaI7
1.0
0.000 6.469 6.469
6.469 0.000 6.469
6.469 6.469 0.000
Rb Ta I
2 1 7
direct
0.250 0.250 0.250
0.750 0.750 0.750
0.000 0.000 0.000
0.215 0.215 0.785
0.215 0.785 0.215
0.215 0.785 0.785
0.500 0.500 0.500
0.785 0.215 0.215
0.785 0.215 0.785
0.785 0.785 0.215
```

Values from the calculation:
Energy relative to the lowest polymorph listed for this composition in meV per atom: 38
Total magnetization in Bohr magnetons per cell: 0.00
Formation energy without anion corrections in eV per atom: -0.697
Energy in eV per atom: -3.161

***

# 9
First-principles (PBE) data for crystalline SnAuNF2 at its relaxed geometry, as listed in Alexandria via LeMat-Bulk.

```
SnAuNF2
1.0
4.248 0.000 0.000
0.000 4.248 0.000
0.000 0.000 4.049
Sn Au N F
1 1 1 2
direct
0.000 0.000 0.000
0.500 0.500 0.500
0.000 0.000 0.500
0.000 0.500 0.000
0.500 0.000 0.000
```

Values from the calculation:
Energy relative to the lowest polymorph listed for this composition in meV per atom: 0
Total magnetization in Bohr magnetons per cell: 0.00
Formation energy without anion corrections in eV per atom: -0.419
Energy in eV per atom: -4.289

***

# 10
First-principles (PBE) data for crystalline TlSn4I8 at its relaxed geometry, as listed in Alexandria via LeMat-Bulk.

```
TlSn4I8
1.0
0.000 6.885 6.885
6.885 0.000 6.885
6.885 6.885 0.000
Tl Sn I
1 4 8
direct
0.000 0.000 0.000
0.379 0.379 0.379
0.379 0.379 0.862
0.379 0.862 0.379
0.862 0.379 0.379
0.141 0.141 0.141
0.141 0.141 0.577
0.141 0.577 0.141
0.160 0.613 0.613
0.577 0.141 0.141
0.613 0.160 0.613
0.613 0.613 0.160
0.613 0.613 0.613
```

Values from the calculation:
Energy relative to the lowest polymorph listed for this composition in meV per atom: 20
Total magnetization in Bohr magnetons per cell: 0.00
Formation energy without anion corrections in eV per atom: -0.401
Energy in eV per atom: -2.769

***

# 11
First-principles (PBE) data for crystalline KTi2Cl6 at its relaxed geometry, as listed in Alexandria via LeMat-Bulk.

```
KTi2Cl6
1.0
3.797 2.192 6.954
-3.797 2.192 6.954
0.000 -4.384 6.954
K Ti Cl
1 2 6
direct
0.000 0.000 0.000
0.601 0.601 0.601
0.729 0.729 0.729
0.040 0.749 0.457
0.294 0.581 0.879
0.457 0.040 0.749
0.581 0.879 0.294
0.749 0.457 0.040
0.879 0.294 0.581
```

Values from the calculation:
Energy relative to the lowest polymorph listed for this composition in meV per atom: 171
Total magnetization in Bohr magnetons per cell: 1.00
Formation energy without anion corrections in eV per atom: -1.478
Energy in eV per atom: -4.586

***

# 12
First-principles (PBE) data for crystalline FeReAs6 at its relaxed geometry, as listed in Alexandria via LeMat-Bulk.

```
FeReAs6
1.0
6.011 -4.271 0.000
6.011 4.271 0.000
-6.002 0.000 6.063
Fe Re As
2 2 12
direct
0.000 0.500 0.000
0.500 0.000 0.000
0.000 0.500 0.500
0.500 0.000 0.500
0.141 0.843 0.150
0.157 0.859 0.850
0.192 0.510 0.344
0.335 0.335 0.989
0.349 0.349 0.704
0.490 0.808 0.656
0.510 0.192 0.344
0.651 0.651 0.296
0.665 0.665 0.011
0.808 0.490 0.656
0.843 0.141 0.150
0.859 0.157 0.850
```

Values from the calculation:
Total magnetization in Bohr magnetons per cell: 2.82
Energy in eV per atom: -6.090